# 1
This record from Alexandria via LeMat-Bulk describes CrFeIrS2 after structural relaxation. The functional is PBE.

spin magnetization	3.61	Bohr magnetons per cell
total DFT energy (no corrections)	-31.04	eV per cell
formation energy from raw total energies	0.8321	eV/atom
volume	17.51	A^3/atom

Cell: 4.3251 4.3251 4.6808 Å, 90.00 90.00 90.00°
With the nearest neighbours (Å) after each atom.
Space group P4/mmm (No. 123)
Inequivalent atoms, fractional coordinates:
Cr: 0.0000 0.0000 0.0000 (multiplicity 1)  4 S 2.16, 2 Ir 2.34
Fe: 0.5000 0.5000 0.5000 (multiplicity 1)  4 Ir 3.06, 8 S 3.19
Ir: 0.0000 0.0000 0.5000 (multiplicity 1)  2 Cr 2.34
S: 0.0000 0.5000 0.0000 (multiplicity 2)  2 Cr 2.16


# 2
This record from Alexandria via LeMat-Bulk describes ScCr2FeIr after structural relaxation. The functional is PBE.

spin magnetization	3.81	Bohr magnetons per cell
total DFT energy (no corrections)	-40.07	eV per cell
formation enthalpy at 0 K	567	meV/atom
volume	17.06	A^3/atom

Cell: 4.2540 4.2540 4.7145 Å, 90.00 90.00 90.00°
With the nearest neighbours (Å) after each atom.
Space group P4/mmm (No. 123)
Inequivalent atoms, fractional coordinates:
Sc: 0.0000 0.0000 0.0000 (multiplicity 1)  4 Ir 3.01, 8 Cr 3.18
Cr: 0.0000 0.5000 0.5000 (multiplicity 2)  2 Fe 2.13
Fe: 0.5000 0.5000 0.5000 (multiplicity 1)  4 Cr 2.13, 2 Ir 2.36
Ir: 0.5000 0.5000 0.0000 (multiplicity 1)  2 Fe 2.36


# 3
This record from Alexandria via LeMat-Bulk describes SrCrFeIr2 after structural relaxation. The functional is PBE.

spin magnetization	2.20	Bohr magnetons per cell
total DFT energy (no corrections)	-34.60	eV per cell
formation enthalpy at 0 K	579	meV/atom
volume	19.19	A^3/atom

Cell: 4.6481 4.6481 4.4422 Å, 90.00 90.00 90.00°
With the nearest neighbours (Å) after each atom.
Space group P4/mmm (No. 123)
Inequivalent atoms, fractional coordinates:
Sr: 0.0000 0.0000 0.0000 (multiplicity 1)  8 Ir 3.21, 4 Fe 3.29
Cr: 0.5000 0.5000 0.5000 (multiplicity 1)  2 Fe 2.22, 4 Ir 2.32
Fe: 0.5000 0.5000 0.0000 (multiplicity 1)  2 Cr 2.22
Ir: 0.0000 0.5000 0.5000 (multiplicity 2)  2 Cr 2.32


# 4
This record from Alexandria via LeMat-Bulk describes TaCrFe2Ir after structural relaxation. The functional is PBE.

spin magnetization	0.16	Bohr magnetons per cell
total DFT energy (no corrections)	-38.13	eV per cell
formation enthalpy at 0 K	1827	meV/atom
volume	18.47	A^3/atom

Cell: 4.3783 4.3783 4.8183 Å, 90.00 90.00 90.00°
With the nearest neighbours (Å) after each atom.
Space group P4/mmm (No. 123)
Inequivalent atoms, fractional coordinates:
Ta: 0.0000 0.0000 0.0000 (multiplicity 1)  2 Ir 2.41
Cr: 0.5000 0.5000 0.0000 (multiplicity 1)  4 Ta 3.10, 8 Fe 3.26
Fe: 0.0000 0.5000 0.5000 (multiplicity 2)  2 Ir 2.19
Ir: 0.0000 0.0000 0.5000 (multiplicity 1)  4 Fe 2.19, 2 Ta 2.41


# 5
This record from Alexandria via LeMat-Bulk describes V5CrFe2Ir2 after structural relaxation. The functional is PBE.

spin magnetization	0.00	Bohr magnetons per cell
total DFT energy (no corrections)	-180.22	eV per cell
formation enthalpy at 0 K	-24	meV/atom
volume	13.00	A^3/atom

Cell: 9.4028 9.4028 2.9410 Å, 90.00 90.00 90.00°
With the nearest neighbours (Å) after each atom.
Space group P4/mbm (No. 127)
Inequivalent atoms, fractional coordinates:
V: 0.0000 0.5000 0.0000 (multiplicity 2)  4 Fe 2.26
V: 0.0670 0.1932 0.0000 (multiplicity 8)  2 Fe 2.30, 2 Cr 2.42
Cr: 0.0000 0.0000 0.5000 (multiplicity 2)  8 V 2.42
Fe: 0.1292 0.3708 0.5000 (multiplicity 4)  6 V 2.26-2.30
Ir: 0.1709 0.6709 0.5000 (multiplicity 4)  3 Fe 2.66-2.85, 10 V 2.71-2.97, 2 Ir 2.94


# 6
This record from Alexandria via LeMat-Bulk describes Y2CrFeIr after structural relaxation. The functional is PBE.

spin magnetization	1.80	Bohr magnetons per cell
total DFT energy (no corrections)	-36.58	eV per cell
formation enthalpy at 0 K	659	meV/atom
volume	20.84	A^3/atom

Cell: 5.1118 5.1118 3.9880 Å, 90.00 90.00 90.00°
With the nearest neighbours (Å) after each atom.
Space group P4/mmm (No. 123)
Inequivalent atoms, fractional coordinates:
Y: 0.0000 0.5000 0.0000 (multiplicity 2)  2 Cr 2.56
Cr: 0.0000 0.0000 0.0000 (multiplicity 1)  2 Fe 1.99
Fe: 0.0000 0.0000 0.5000 (multiplicity 1)  2 Cr 1.99
Ir: 0.5000 0.5000 0.5000 (multiplicity 1)  8 Y 3.24, 4 Fe 3.61


# 7
This record from Alexandria via LeMat-Bulk describes KCrFe after structural relaxation. The functional is PBE.

spin magnetization	7.44	Bohr magnetons per cell
total DFT energy (no corrections)	-14.59	eV per cell
formation enthalpy at 0 K	1531	meV/atom
energy above the most stable polymorph in this dataset	1.89	eV per formula unit
volume	22.52	A^3/atom

Cell: 5.2827 5.2827 2.7953 Å, 90.00 90.00 120.00°
With the nearest neighbours (Å) after each atom.
Space group P3m1 (No. 156)
Inequivalent atoms, fractional coordinates:
K: 0.0000 0.0000 0.0000 (multiplicity 1)  2 K 2.80
Cr: 0.6667 0.3333 0.3464 (multiplicity 1)  2 Cr 2.80
Fe: 0.3333 0.6667 0.6619 (multiplicity 1)  2 Fe 2.80


# 8
This record from Alexandria via LeMat-Bulk describes K2CrFe2 after structural relaxation. The functional is PBE.

spin magnetization	9.70	Bohr magnetons per cell
total DFT energy (no corrections)	-43.17	eV per cell
formation enthalpy at 0 K	1432	meV/atom
energy above the most stable polymorph in this dataset	0.00	eV per formula unit
volume	24.64	A^3/atom

Cell: 3.2306 3.2306 23.6060 Å, 90.00 90.00 90.00°
With the nearest neighbours (Å) after each atom.
Space group I4/mmm (No. 139)
Inequivalent atoms, fractional coordinates:
K: 0.0000 0.0000 0.1196 (multiplicity 4)  4 K 3.23, 4 Fe 3.48
Cr: 0.0000 0.0000 0.5000 (multiplicity 2)  4 Cr 3.23
Fe: 0.0000 0.5000 0.2500 (multiplicity 4)  4 Fe 2.28


# 9
This record from Alexandria via LeMat-Bulk describes K2CrFe2 after structural relaxation. The functional is PBE.

spin magnetization	9.50	Bohr magnetons per cell
total DFT energy (no corrections)	-36.66	eV per cell
formation enthalpy at 0 K	2083	meV/atom
energy above the most stable polymorph in this dataset	3.26	eV per formula unit
volume	23.24	A^3/atom

Cell: 9.3276 9.3276 2.6714 Å, 90.00 90.00 90.00°
With the nearest neighbours (Å) after each atom.
Space group P4/mbm (No. 127)
Inequivalent atoms, fractional coordinates:
K: 0.1202 0.3798 0.0000 (multiplicity 4)  2 K 2.67, 2 Fe 2.90
Cr: 0.0000 0.0000 0.0000 (multiplicity 2)  2 Cr 2.67
Fe: 0.1846 0.6846 0.5000 (multiplicity 4)  2 Fe 2.67, 2 K 2.90


# 10
This record from Alexandria via LeMat-Bulk describes KCrFe2 after structural relaxation. The functional is PBE.

spin magnetization	7.00	Bohr magnetons per cell
total DFT energy (no corrections)	-24.32	eV per cell
formation enthalpy at 0 K	832	meV/atom
energy above the most stable polymorph in this dataset	0.36	eV per formula unit
volume	17.90	A^3/atom

Cell: 2.9181 2.9181 8.4096 Å, 90.00 90.00 90.00°
With the nearest neighbours (Å) after each atom.
Space group P4mm (No. 99)
Inequivalent atoms, fractional coordinates:
K: 0.0000 0.0000 0.0000 (multiplicity 1)  4 K 2.92
Cr: 0.5000 0.5000 0.3444 (multiplicity 1)  5 Fe 2.48-2.66
Fe: 0.0000 0.0000 0.5077 (multiplicity 1)  4 Fe 2.43, 4 Cr 2.48
Fe: 0.5000 0.5000 0.6608 (multiplicity 1)  4 Fe 2.43, 1 Cr 2.66


# 11
This record from Alexandria via LeMat-Bulk describes KCrFe2 after structural relaxation. The functional is PBE.

spin magnetization	0.00	Bohr magnetons per cell
total DFT energy (no corrections)	-82.78	eV per cell
formation enthalpy at 0 K	1738	meV/atom
energy above the most stable polymorph in this dataset	3.99	eV per formula unit
volume	14.14	A^3/atom

Cell: 6.0927 6.0927 6.0927 Å, 90.00 90.00 90.00°
With the nearest neighbours (Å) after each atom.
Space group Fm-3m (No. 225)
Inequivalent atoms, fractional coordinates:
K: 0.0000 0.0000 0.0000 (multiplicity 4)  8 Fe 2.64
Cr: 0.0000 0.0000 0.5000 (multiplicity 4)  8 Fe 2.64
Fe: 0.2500 0.2500 0.2500 (multiplicity 8)  4 Cr 2.64, 4 K 2.64


# 12
This record from Alexandria via LeMat-Bulk describes KCrFe2 after structural relaxation. The functional is PBE.

spin magnetization	18.54	Bohr magnetons per cell
total DFT energy (no corrections)	-45.50	eV per cell
formation enthalpy at 0 K	1224	meV/atom
energy above the most stable polymorph in this dataset	1.93	eV per formula unit
volume	19.55	A^3/atom

Cell: 2.8222 5.4542 10.1610 Å, 90.00 90.00 90.00°
With the nearest neighbours (Å) after each atom.
Space group Imm2 (No. 44)
Inequivalent atoms, fractional coordinates:
K: 0.0000 0.0000 0.0000 (multiplicity 2)  2 K 2.82, 4 Fe 3.09
Cr: 0.0000 0.5000 0.8018 (multiplicity 2)  2 Fe 2.75, 2 Cr 2.82
Fe: 0.0000 0.0000 0.5345 (multiplicity 2)  2 Fe 2.29
Fe: 0.0000 0.5000 0.2122 (multiplicity 2)  2 Fe 2.29


# 13
This record from Alexandria via LeMat-Bulk describes KCrFe2 after structural relaxation. The functional is PBE.

spin magnetization	2.82	Bohr magnetons per cell
total DFT energy (no corrections)	-24.68	eV per cell
formation enthalpy at 0 K	741	meV/atom
energy above the most stable polymorph in this dataset	0.00	eV per formula unit
volume	18.55	A^3/atom

Cell: 2.8122 3.3990 7.7641 Å, 90.00 90.33 90.00°
With the nearest neighbours (Å) after each atom.
Space group P2/m (No. 10)
Inequivalent atoms, fractional coordinates:
K: 0.0000 0.0000 0.0000 (multiplicity 1)  2 K 2.81
Cr: 0.0000 0.0000 0.5000 (multiplicity 1)  8 Fe 2.48
Fe: 0.4958 0.5000 0.3539 (multiplicity 2)  1 Fe 2.27, 4 Cr 2.48


# 14
This record from Alexandria via LeMat-Bulk describes KCr3Fe after structural relaxation. The functional is PBE.

spin magnetization	0.00	Bohr magnetons per cell
total DFT energy (no corrections)	-23.03	eV per cell
formation enthalpy at 0 K	3080	meV/atom
energy above the most stable polymorph in this dataset	9.43	eV per formula unit
volume	13.91	A^3/atom

Cell: 4.1122 4.1122 4.1122 Å, 90.00 90.00 90.00°
With the nearest neighbours (Å) after each atom.
Space group Pm-3m (No. 221)
Inequivalent atoms, fractional coordinates:
K: 0.0000 0.0000 0.0000 (multiplicity 1)  6 Cr 2.06
Cr: 0.0000 0.0000 0.5000 (multiplicity 3)  2 K 2.06
Fe: 0.5000 0.5000 0.5000 (multiplicity 1)  12 Cr 2.91